[1]
DFT (PBE) results for a geometry-optimized KBPb2 structure.

## Properties
* DFT total energy: -12.664 eV/f.u.
* D(E_F): 0.30 states/eV per atom
* symmetry: I-42d
* offset from the most stable computed form: 0 meV per atom
* energy of formation from the pure elements: 0.632 eV/atom
* mass density: 5.5 g cm⁻³

a b c (Å): 7.286 7.286 7.356
angles (deg): 60.31 60.31 90.00
Atoms (fractional coordinates):
Pb 0.375 0.514 0.750
Pb 0.486 0.125 0.250
Pb 0.264 0.625 0.250
Pb 0.875 0.736 0.750
B 0.500 0.500 0.000
B 0.250 0.750 0.500
K 0.750 0.250 0.500
K 0.000 0.000 0.000



[2]
DFT (PBE) results for a geometry-optimized KBPdPb2 structure.

## Properties
* DFT total energy: -10.846 eV/f.u.
* D(E_F): 0.98 states/eV per atom
* symmetry: P4/mmm
* energy of formation from the pure elements: 1.908 eV/atom
* mass density: 5.9 g cm⁻³

a b c (Å): 5.879 4.656 5.879
angles (deg): 90.00 90.00 90.00
Atoms (fractional coordinates):
Pb 0.000 0.000 0.500
Pb 0.500 0.000 0.000
B 0.000 0.500 0.000
Pd 0.500 0.500 0.500
K 0.000 0.000 0.000



[3]
DFT (PBE) results for a geometry-optimized KBPb2S4 structure.

## Properties
* raw formation energy: -0.454 eV/atom
* DFT total energy: -35.330 eV/f.u.
* symmetry: C2/c
* mass density: 4.1 g cm⁻³

a b c (Å): 8.169 8.169 16.514
angles (deg): 138.38 138.38 62.07
Atoms (fractional coordinates):
S 0.705 0.022 0.920
S 0.478 0.795 0.580
S 0.295 0.978 0.080
S 0.522 0.205 0.420
S 0.071 0.095 0.744
S 0.929 0.905 0.256
S 0.405 0.429 0.756
S 0.595 0.571 0.244
K 0.000 0.500 0.500
K 0.000 0.500 0.000
Pb 0.500 0.000 0.500
Pb 0.500 0.000 0.000
Pb 0.500 0.500 0.000
Pb 0.000 0.000 0.500
B 0.000 0.000 0.000
B 0.500 0.500 0.500



[4]
DFT (PBE) results for a geometry-optimized KSiBPb2 structure.

## Properties
* raw formation energy: 1.994 eV/atom
* DFT total energy: -10.644 eV/f.u.
* D(E_F): 0.82 states/eV per atom
* symmetry: P4/mmm
* mass density: 4.8 g cm⁻³

a b c (Å): 5.930 4.875 5.930
angles (deg): 90.00 90.00 90.00
Atoms (fractional coordinates):
B 0.000 0.500 0.000
Pb 0.000 0.000 0.500
Pb 0.500 0.000 0.000
K 0.000 0.000 0.000
Si 0.500 0.500 0.500



[5]
DFT (PBE) results for a geometry-optimized KSnBPb2 structure.

## Properties
* DFT total energy: -15.913 eV/f.u.
* D(E_F): 0.76 states/eV per atom
* symmetry: P4/mmm
* energy of formation from the pure elements: 0.656 eV/atom
* mass density: 6.7 g cm⁻³

a b c (Å): 5.119 5.517 5.119
angles (deg): 90.00 90.00 90.00
Atoms (fractional coordinates):
K 0.000 0.500 0.000
B 0.000 0.000 0.000
Sn 0.500 0.500 0.500
Pb 0.500 0.000 0.000
Pb 0.000 0.000 0.500



[6]
DFT (PBE) results for a geometry-optimized KB3Pd structure.

## Properties
* DFT total energy: -19.801 eV/f.u.
* D(E_F): 0.49 states/eV per atom
* symmetry: Pm-3m
* offset from the most stable computed form: 0 meV per atom
* energy of formation from the pure elements: 1.304 eV/atom
* mass density: 3.9 g cm⁻³

a b c (Å): 4.230 4.230 4.230
angles (deg): 90.00 90.00 90.00
Atoms (fractional coordinates):
Pd 0.000 0.000 0.000
B 0.000 0.000 0.500
B 0.000 0.500 0.000
B 0.500 0.000 0.000
K 0.500 0.500 0.500